Computed, not measured: a geometry-optimized GdTlMo2O8 structure at the PBE with a Hubbard U level of DFT.

Lattice parameters (Å, degrees): 5.1821 19.2884 8.2119 90.00 90.00 90.00
Space group Pbcn (No. 60)
One atom of each set of equivalent atoms:
Gd 0.0000 0.0046 0.2500 x4
Tl 0.0000 0.2267 0.7500 x4
Mo 0.0219 0.4010 0.0114 x8
O 0.0992 0.3157 0.4832 x8
O 0.2296 0.4054 0.8370 x8
O 0.2395 0.4099 0.1840 x8
O 0.2496 0.0361 0.0033 x8

Results
uncorrected energy: -94.181 eV per formula unit